[1]
The following is a DFT calculation (SCAN) of a PBEsol-optimized structure of CrFe2Pt.

CIF file:
```
data_CrFe2Pt
_chemical_formula_sum 'Cr4 Fe8 Pt4'
_space_group_name_H-M_alt 'F m -3 m'
_space_group_IT_number 225
_space_group_name_Hall '-F 4 2 3'
_cell_length_a 5.8157
_cell_length_b 5.8157
_cell_length_c 5.8157
_cell_angle_alpha 90.00
_cell_angle_beta 90.00
_cell_angle_gamma 90.00
loop_
_atom_site_label
_atom_site_type_symbol
_atom_site_fract_x
_atom_site_fract_y
_atom_site_fract_z
_atom_site_occupancy
Cr1 Cr 0.0000 0.0000 0.0000 1
Fe1 Fe 0.2500 0.2500 0.2500 1
Pt1 Pt 0.0000 0.0000 0.5000 1
```

formation enthalpy at 0 K	-0.11	eV/atom



[2]
The following is a DFT calculation (SCAN) of a PBEsol-optimized structure of Cr2Fe2Pt.

CIF file:
```
data_Cr2Fe2Pt
_chemical_formula_sum 'Cr4 Fe4 Pt2'
_space_group_name_H-M_alt 'I 4/m m m'
_space_group_IT_number 139
_space_group_name_Hall '-I 4 2'
_cell_length_a 3.5356
_cell_length_b 3.5356
_cell_length_c 9.7851
_cell_angle_alpha 90.00
_cell_angle_beta 90.00
_cell_angle_gamma 90.00
loop_
_atom_site_label
_atom_site_type_symbol
_atom_site_fract_x
_atom_site_fract_y
_atom_site_fract_z
_atom_site_occupancy
Cr1 Cr 0.0000 0.0000 0.1114 1
Fe1 Fe 0.0000 0.5000 0.2500 1
Pt1 Pt 0.0000 0.0000 0.5000 1
```

formation enthalpy at 0 K	0.45	eV/atom



[3]
The following is a DFT calculation (SCAN) of a PBEsol-optimized structure of CrFe2Pt.

CIF file:
```
data_CrFe2Pt
_chemical_formula_sum 'Cr1 Fe2 Pt1'
_space_group_name_H-M_alt 'P m m m'
_space_group_IT_number 47
_space_group_name_Hall '-P 2 2'
_cell_length_a 2.6103
_cell_length_b 3.5494
_cell_length_c 5.2254
_cell_angle_alpha 90.00
_cell_angle_beta 90.00
_cell_angle_gamma 90.00
loop_
_atom_site_label
_atom_site_type_symbol
_atom_site_fract_x
_atom_site_fract_y
_atom_site_fract_z
_atom_site_occupancy
Cr1 Cr 0.0000 0.0000 0.0000 1
Fe1 Fe 0.5000 0.5000 0.2286 1
Pt1 Pt 0.0000 0.0000 0.5000 1
```

formation enthalpy at 0 K	-0.20	eV/atom



[4]
The following is a DFT calculation (SCAN) of a PBEsol-optimized structure of CrFe2Pt.

CIF file:
```
data_CrFe2Pt
_chemical_formula_sum 'Cr2 Fe4 Pt2'
_space_group_name_H-M_alt 'I -4 m 2'
_space_group_IT_number 119
_space_group_name_Hall 'I -4 -2'
_cell_length_a 3.6397
_cell_length_b 3.6397
_cell_length_c 7.3511
_cell_angle_alpha 90.00
_cell_angle_beta 90.00
_cell_angle_gamma 90.00
loop_
_atom_site_label
_atom_site_type_symbol
_atom_site_fract_x
_atom_site_fract_y
_atom_site_fract_z
_atom_site_occupancy
Cr1 Cr 0.0000 0.0000 0.0000 1
Fe1 Fe 0.0000 0.0000 0.5000 1
Fe2 Fe 0.0000 0.5000 0.7500 1
Pt1 Pt 0.0000 0.5000 0.2500 1
```

formation enthalpy at 0 K	-0.31	eV/atom



[5]
The following is a DFT calculation (SCAN) of a PBEsol-optimized structure of CrFePt3.

CIF file:
```
data_CrFePt3
_chemical_formula_sum 'Cr1 Fe1 Pt3'
_space_group_name_H-M_alt 'P m -3 m'
_space_group_IT_number 221
_space_group_name_Hall '-P 4 2 3'
_cell_length_a 4.4910
_cell_length_b 4.4910
_cell_length_c 4.4910
_cell_angle_alpha 90.00
_cell_angle_beta 90.00
_cell_angle_gamma 90.00
loop_
_atom_site_label
_atom_site_type_symbol
_atom_site_fract_x
_atom_site_fract_y
_atom_site_fract_z
_atom_site_occupancy
Cr1 Cr 0.0000 0.0000 0.0000 1
Fe1 Fe 0.5000 0.5000 0.5000 1
Pt1 Pt 0.0000 0.0000 0.5000 1
```

formation enthalpy at 0 K	1.08	eV/atom



[6]
The following is a DFT calculation (SCAN) of a PBEsol-optimized structure of CrFe2Pt.

CIF file:
```
data_CrFe2Pt
_chemical_formula_sum 'Cr3 Fe6 Pt3'
_space_group_name_H-M_alt 'R 3 m'
_space_group_IT_number 160
_space_group_name_Hall 'R 3 -2"'
_cell_length_a 2.5991
_cell_length_b 2.5991
_cell_length_c 24.8773
_cell_angle_alpha 90.00
_cell_angle_beta 90.00
_cell_angle_gamma 120.00
loop_
_atom_site_label
_atom_site_type_symbol
_atom_site_fract_x
_atom_site_fract_y
_atom_site_fract_z
_atom_site_occupancy
Cr1 Cr 0.0000 0.0000 0.0000 1
Fe1 Fe 0.0000 0.0000 0.4893 1
Fe2 Fe 0.0000 0.0000 0.7421 1
Pt1 Pt 0.0000 0.0000 0.2447 1
```

formation enthalpy at 0 K	0.04	eV/atom



[7]
The following is a DFT calculation (SCAN) of a PBEsol-optimized structure of CrFe2Pt.

CIF file:
```
data_CrFe2Pt
_chemical_formula_sum 'Cr1 Fe2 Pt1'
_space_group_name_H-M_alt 'P 4 m m'
_space_group_IT_number 99
_space_group_name_Hall 'P 4 -2'
_cell_length_a 2.5839
_cell_length_b 2.5839
_cell_length_c 7.0799
_cell_angle_alpha 90.00
_cell_angle_beta 90.00
_cell_angle_gamma 90.00
loop_
_atom_site_label
_atom_site_type_symbol
_atom_site_fract_x
_atom_site_fract_y
_atom_site_fract_z
_atom_site_occupancy
Cr1 Cr 0.0000 0.0000 0.0000 1
Fe1 Fe 0.0000 0.0000 0.4548 1
Fe2 Fe 0.5000 0.5000 0.2203 1
Pt1 Pt 0.5000 0.5000 0.7284 1
```

formation enthalpy at 0 K	-0.05	eV/atom



[8]
The following is a DFT calculation (SCAN) of a PBEsol-optimized structure of Cr2FeTePt.

CIF file:
```
data_Cr2FeTePt
_chemical_formula_sum 'Cr2 Fe1 Te1 Pt1'
_space_group_name_H-M_alt 'P 4/m m m'
_space_group_IT_number 123
_space_group_name_Hall '-P 4 2'
_cell_length_a 4.8346
_cell_length_b 4.8346
_cell_length_c 4.5725
_cell_angle_alpha 90.00
_cell_angle_beta 90.00
_cell_angle_gamma 90.00
loop_
_atom_site_label
_atom_site_type_symbol
_atom_site_fract_x
_atom_site_fract_y
_atom_site_fract_z
_atom_site_occupancy
Cr1 Cr 0.0000 0.5000 0.0000 1
Fe1 Fe 0.0000 0.0000 0.5000 1
Te1 Te 0.0000 0.0000 0.0000 1
Pt1 Pt 0.5000 0.5000 0.5000 1
```



no.,energy (eV per atom),N(E_F) (states/eV/f.u.)
1,-31.318,4.05
2,-28.192,5.26
3,-31.411,2.02
4,-31.523,2.49
5,-48.341,6.73
6,-31.171,4.30
7,-31.260,3.86
8,-31.275,3.22